(1)
DFT (PBE) results for BaHfSi2 after structural relaxation.

Results
As for the crystal system: tetragonal. The space-group type is No. 122. The calculation puts the formation energy (no corrections) at 69 meV per atom. For the energy above the lowest structure with this stoichiometry, the calculation gives 0.000 eV/atom.

abc: 5.3543 5.3543 17.7280
angles: 90.00 90.00 90.00
Fractional coordinates of all 16 atoms:
Ba 0.0000 0.0000 0.0000
Ba 0.0000 0.5000 0.2500
Ba 0.5000 0.0000 0.7500
Ba 0.5000 0.5000 0.5000
Hf 0.0000 0.0000 0.5000
Hf 0.0000 0.5000 0.7500
Hf 0.5000 0.0000 0.2500
Hf 0.5000 0.5000 0.0000
Si 0.0019 0.2500 0.6250
Si 0.2500 0.5019 0.8750
Si 0.2500 0.9981 0.3750
Si 0.4981 0.2500 0.1250
Si 0.5019 0.7500 0.1250
Si 0.7500 0.0019 0.3750
Si 0.7500 0.4981 0.8750
Si 0.9981 0.7500 0.6250

(2)
DFT (PBE) results for Pm2GaCu4Si3 after structural relaxation.

Results
As for the crystal system: tetragonal. The space-group type is No. 115. The calculation puts the formation energy (no corrections) at -543 meV per atom.

abc: 4.0771 4.0771 10.0612
angles: 90.00 90.00 90.00
Fractional coordinates of all 10 atoms:
Pm 0.0000 0.5000 0.2442
Pm 0.5000 0.0000 0.7558
Ga 0.0000 0.0000 0.5000
Cu 0.0000 0.0000 0.0000
Cu 0.0000 0.5000 0.6367
Cu 0.5000 0.0000 0.3633
Cu 0.5000 0.5000 0.0000
Si 0.0000 0.5000 0.8715
Si 0.5000 0.0000 0.1285
Si 0.5000 0.5000 0.5000

The records above yield volume values of 31.8 16.7 Å³/atom, respectively.